1.
The following is a PBE calculation of crystalline Cs8HCl4F3 at its relaxed geometry, from Alexandria via LeMat-Bulk.

Calculated values
The space group is No. 166. The volume is 580 Å³/f.u. The energy comes out at -54.81 eV for the cell shown.

Lattice parameters (Å, degrees): 9.4149 9.4149 9.4149 59.27 59.27 59.27
Closest atoms and distances in Å follow each position.
Element x y z (fractional)
Cs 0.2338 0.7419 0.7419  2 F 3.15, 1 H 3.21, 3 Cl 3.43-3.48
Cs 0.2389 0.2389 0.2389  3 F 3.17, 3 Cl 3.47
Cs 0.2581 0.2581 0.7662  2 F 3.15, 1 H 3.21, 3 Cl 3.43-3.48
Cs 0.2581 0.7662 0.2581  2 F 3.15, 1 H 3.21, 3 Cl 3.43-3.48
Cs 0.7419 0.2338 0.7419  2 F 3.15, 1 H 3.21, 3 Cl 3.43-3.48
Cs 0.7419 0.7419 0.2338  2 F 3.15, 1 H 3.21, 3 Cl 3.43-3.48
Cs 0.7611 0.7611 0.7611  3 F 3.17, 3 Cl 3.47
Cs 0.7662 0.2581 0.2581  2 F 3.15, 1 H 3.21, 3 Cl 3.43-3.48
H 0.5000 0.5000 0.5000  6 Cs 3.21
Cl 0.0000 0.0000 0.0000  6 Cs 3.43
Cl 0.0000 0.5000 0.5000  6 Cs 3.47-3.48
Cl 0.5000 0.0000 0.5000  6 Cs 3.47-3.48
Cl 0.5000 0.5000 0.0000  6 Cs 3.47-3.48
F 0.0000 0.0000 0.5000  6 Cs 3.15-3.17
F 0.0000 0.5000 0.0000  6 Cs 3.15-3.17
F 0.5000 0.0000 0.0000  6 Cs 3.15-3.17



2.
The following is a PBE calculation of crystalline Ga2Si2Ge at its relaxed geometry, from Alexandria via LeMat-Bulk.

Calculated values
The space group is No. 139. Its formation energy without anion corrections is 0.2738 eV per atom. Its energy above the most stable polymorph in this dataset is 0 meV/atom. The volume is 92 Å³/f.u.

Lattice parameters (Å, degrees): 3.4579 3.4579 15.3375 90.00 90.00 90.00
Closest atoms and distances in Å follow each position.
Element x y z (fractional)
Ga 0.0000 0.0000 0.1026  4 Si 2.85, 4 Ge 2.91, 1 Ga 3.15
Ga 0.0000 0.0000 0.8974  4 Si 2.85, 4 Ge 2.91, 1 Ga 3.15
Ga 0.5000 0.5000 0.3974  4 Si 2.85, 4 Ge 2.91, 1 Ga 3.15
Ga 0.5000 0.5000 0.6026  4 Si 2.85, 4 Ge 2.91, 1 Ga 3.15
Si 0.0000 0.5000 0.2500  4 Si 2.45
Si 0.0000 0.5000 0.7500  4 Si 2.45
Si 0.5000 0.0000 0.2500  4 Si 2.45
Si 0.5000 0.0000 0.7500  4 Si 2.45
Ge 0.0000 0.0000 0.5000  8 Ga 2.91
Ge 0.5000 0.5000 0.0000  8 Ga 2.91



3.
The following is a PBE calculation of crystalline Tm5ZrBi4 at its relaxed geometry, from Alexandria via LeMat-Bulk.

Calculated values
The space group is No. 12. The value obtained for the energy relative to the elements is -0.411 eV per atom. The volume is 309 Å³/f.u.

Lattice parameters (Å, degrees): 10.0638 10.0638 7.5007 100.55 100.55 24.47
Closest atoms and distances in Å follow each position.
Element x y z (fractional)
Tm 0.0000 0.0000 0.0000  6 Bi 3.10
Tm 0.3007 0.3007 0.8858  4 Bi 3.20-3.32, 5 Tm 3.56-3.58
Tm 0.3120 0.3120 0.4144  3 Bi 3.03-3.11
Tm 0.6880 0.6880 0.5856  3 Bi 3.03-3.11
Tm 0.6993 0.6993 0.1142  4 Bi 3.20-3.32, 5 Tm 3.56-3.58
Zr 0.0000 0.0000 0.5000  6 Bi 3.05-3.14
Bi 0.1290 0.1290 0.8182  6 Tm 3.10-3.32, 1 Zr 3.14
Bi 0.4386 0.4386 0.7147  4 Tm 3.03-3.21, 2 Zr 3.05
Bi 0.5614 0.5614 0.2853  4 Tm 3.03-3.21, 2 Zr 3.05
Bi 0.8710 0.8710 0.1818  6 Tm 3.10-3.32, 1 Zr 3.14



4.
The following is a PBE calculation of crystalline Sr2NiAs2 at its relaxed geometry, from Alexandria via LeMat-Bulk.

Calculated values
The space group is No. 127. The value obtained for the energy relative to the elements is -0.586 eV per atom. The volume is 118 Å³/f.u.

Lattice parameters (Å, degrees): 7.0930 7.0930 4.6847 90.00 90.00 90.00
Closest atoms and distances in Å follow each position.
Element x y z (fractional)
Sr 0.1732 0.3268 0.0000  6 As 3.02-3.22
Sr 0.3268 0.8268 0.0000  6 As 3.02-3.22
Sr 0.6732 0.1732 0.0000  6 As 3.02-3.22
Sr 0.8268 0.6732 0.0000  6 As 3.02-3.22
Ni 0.0000 0.0000 0.5000  4 As 2.75
Ni 0.5000 0.5000 0.5000  4 As 2.75
As 0.1365 0.6365 0.5000  1 As 2.74, 2 Ni 2.75, 2 Sr 3.02
As 0.3635 0.1365 0.5000  1 As 2.74, 2 Ni 2.75, 2 Sr 3.02
As 0.6365 0.8635 0.5000  1 As 2.74, 2 Ni 2.75, 2 Sr 3.02
As 0.8635 0.3635 0.5000  1 As 2.74, 2 Ni 2.75, 2 Sr 3.02



5.
The following is a PBE calculation of crystalline KNbCrFe2 at its relaxed geometry, from Alexandria via LeMat-Bulk.

Calculated values
The space group is No. 123. The value obtained for the energy relative to the elements is 2.606 eV per atom. The volume is 75 Å³/f.u.

Lattice parameters (Å, degrees): 4.1885 4.1885 4.2620 90.00 90.00 90.00
Closest atoms and distances in Å follow each position.
Element x y z (fractional)
K 0.0000 0.0000 0.0000  4 Fe 2.09, 2 Cr 2.13
Nb 0.5000 0.5000 0.5000  4 Cr 2.96, 8 Fe 2.99
Cr 0.0000 0.0000 0.5000  2 K 2.13
Fe 0.0000 0.5000 0.0000  2 K 2.09
Fe 0.5000 0.0000 0.0000  2 K 2.09



6.
The following is a PBE calculation of crystalline BaIn2As at its relaxed geometry, from Alexandria via LeMat-Bulk.

Calculated values
The space group is No. 65. The value obtained for the energy relative to the elements is -0.434 eV per atom. The volume is 131 Å³/f.u.

Lattice parameters (Å, degrees): 6.5002 7.9895 5.0496 90.00 90.00 90.00
Closest atoms and distances in Å follow each position.
Element x y z (fractional)
Ba 0.0000 0.0000 0.0000  2 As 3.25, 4 In 3.53
Ba 0.5000 0.5000 0.0000  2 As 3.25, 4 In 3.53
In 0.0000 0.3082 0.5000  2 As 2.95, 1 In 3.06
In 0.0000 0.6918 0.5000  2 As 2.95, 1 In 3.06
In 0.5000 0.1918 0.5000  2 As 2.95, 1 In 3.06
In 0.5000 0.8082 0.5000  2 As 2.95, 1 In 3.06
As 0.0000 0.5000 0.0000  4 In 2.95, 2 Ba 3.25
As 0.5000 0.0000 0.0000  4 In 2.95, 2 Ba 3.25



7.
The following is a PBE calculation of crystalline SrMo2Pd at its relaxed geometry, from Alexandria via LeMat-Bulk.

Calculated values
The space group is No. 122. The value obtained for the energy relative to the elements is 0.893 eV per atom. Its energy above the most stable polymorph in this dataset is 0 meV/atom. The volume is 104 Å³/f.u.

Lattice parameters (Å, degrees): 4.6297 4.6297 19.4266 90.00 90.00 90.00
Closest atoms and distances in Å follow each position.
Element x y z (fractional)
Sr 0.0000 0.0000 0.0000  4 Pd 3.27, 8 Mo 3.48-3.62
Sr 0.0000 0.5000 0.2500  4 Pd 3.27, 8 Mo 3.48-3.62
Sr 0.5000 0.0000 0.7500  4 Pd 3.27, 8 Mo 3.48-3.62
Sr 0.5000 0.5000 0.5000  4 Pd 3.27, 8 Mo 3.48-3.62
Mo 0.0223 0.2500 0.6250  2 Mo 2.32
Mo 0.2500 0.5223 0.8750  2 Mo 2.32
Mo 0.2500 0.9777 0.3750  2 Mo 2.32
Mo 0.4777 0.2500 0.1250  2 Mo 2.32
Mo 0.5223 0.7500 0.1250  2 Mo 2.32
Mo 0.7500 0.0223 0.3750  2 Mo 2.32
Mo 0.7500 0.4777 0.8750  2 Mo 2.32
Mo 0.9777 0.7500 0.6250  2 Mo 2.32
Pd 0.0000 0.0000 0.5000  4 Mo 2.69
Pd 0.0000 0.5000 0.7500  4 Mo 2.69
Pd 0.5000 0.0000 0.2500  4 Mo 2.69
Pd 0.5000 0.5000 0.0000  4 Mo 2.69



8.
The following is a PBE calculation of crystalline Y5NbGe4 at its relaxed geometry, from Alexandria via LeMat-Bulk.

Calculated values
The space group is No. 12. The value obtained for the energy relative to the elements is -0.506 eV per atom. The volume is 261 Å³/f.u.

Lattice parameters (Å, degrees): 8.9817 8.9817 7.7678 105.12 105.12 25.57
Closest atoms and distances in Å follow each position.
Element x y z (fractional)
Y 0.0000 0.0000 0.0000  4 Ge 2.88
Y 0.3292 0.3292 0.6691  4 Ge 2.86-2.88
Y 0.3322 0.3322 0.1454  3 Ge 2.84-2.86
Y 0.6678 0.6678 0.8546  3 Ge 2.84-2.86
Y 0.6708 0.6708 0.3309  4 Ge 2.86-2.88
Nb 0.0000 0.0000 0.5000  6 Ge 2.68-2.70
Ge 0.1600 0.1600 0.5893  1 Nb 2.70, 5 Y 2.84-2.87
Ge 0.4989 0.4989 0.7314  2 Nb 2.68, 4 Y 2.86-2.88
Ge 0.5011 0.5011 0.2686  2 Nb 2.68, 4 Y 2.86-2.88
Ge 0.8400 0.8400 0.4107  1 Nb 2.70, 5 Y 2.84-2.87